# 1
First-principles (PBE) data for LaBi2F11 after structural relaxation, as listed in Alexandria.

Structure (POSCAR):
```
LaBi2F11
1.0
-4.143 5.263 5.696
4.143 -5.263 5.696
4.143 5.263 -5.696
La Bi F
2 4 22
Cartesian
0.000 0.000 2.848
0.000 0.000 8.544
5.309 1.900 0.000
1.166 3.363 0.000
2.977 1.900 5.696
-1.166 3.363 5.696
4.143 0.000 0.000
4.963 -3.340 4.106
1.880 -0.764 1.510
4.963 3.340 -1.590
6.406 0.764 1.510
3.034 2.283 0.000
3.034 -2.283 5.696
2.263 4.499 -1.510
0.820 1.923 1.590
1.880 0.764 4.186
4.963 3.340 1.590
0.000 5.263 0.000
-0.820 1.923 4.106
2.263 4.499 1.510
3.323 3.340 4.106
1.880 0.764 7.206
1.109 7.546 0.000
1.109 2.980 5.696
-2.263 4.499 4.186
-0.820 1.923 7.286
2.263 6.027 4.186
-0.820 8.603 1.590
```

Results
Formation energy from raw total energies ... -2.65 eV/atom
DOS at the Fermi energy ... 0.138 states/eV per atom
Symmetry ... Ibam (72)

---

# 2
First-principles (PBE) data for LaBi3F after structural relaxation, as listed in Alexandria.

Structure (POSCAR):
```
LaBi3F
1.0
5.156 0.000 0.000
0.000 5.156 0.000
0.000 0.000 5.156
La Bi F
1 3 1
Cartesian
0.000 0.000 0.000
0.000 2.578 2.578
2.578 0.000 2.578
2.578 2.578 0.000
2.578 2.578 2.578
```

Results
Formation energy from raw total energies ... -0.88 eV/atom
DOS at the Fermi energy ... 0.693 states/eV per atom
Symmetry ... Pm-3m (221)
ΔE to the lowest computed polymorph ... 0 meV/atom

---

# 3
First-principles (PBE) data for LaBi3F after structural relaxation, as listed in Alexandria.

Structure (POSCAR):
```
LaBi3F
1.0
6.179 0.000 0.000
0.000 6.179 0.000
0.000 0.000 6.179
La Bi F
1 3 1
Cartesian
0.000 0.000 0.000
0.000 0.000 3.089
0.000 3.089 0.000
3.089 0.000 0.000
3.089 3.089 3.089
```

Results
Formation energy from raw total energies ... 0.27 eV/atom
DOS at the Fermi energy ... 1.324 states/eV per atom
Symmetry ... Pm-3m (221)
ΔE to the lowest computed polymorph ... 1151 meV/atom